LaHg2SbPd2: relaxed, PBE-GGA.

Output
The calculation puts the formation energy (no corrections) at -0.2989 eV per atom. As for the space group: I4/mmm (139). The calculation puts the magnetic moment at 0.000 μB per cell. The calculation puts the total energy at -3.64 eV per atom.

Cell: 5.345 5.345 6.702 Å, 113.50 113.50 90.00°
Fractional coordinates of all 6 atoms:
La 0.500 0.500 0.000
Hg 0.250 0.750 0.500
Hg 0.750 0.250 0.500
Sb 0.000 0.000 0.000
Pd 0.758 0.758 0.517
Pd 0.242 0.242 0.483


Ni5As3I12: relaxed, PBE-GGA.

Output
The calculation puts the formation energy (no corrections) at 0.2115 eV per atom. As for the space group: Ia-3d (230). The calculation puts the magnetic moment at 11.958 μB per cell. The calculation puts the total energy at -2.86 eV per atom.

Cell: 14.493 14.493 14.493 Å, 109.47 109.47 109.47°
Last column: magnetic moment on the atom in μB.
Fractional coordinates of all 80 atoms:
As 0.750 0.375 0.125  -0.05
As 0.875 0.750 0.125  -0.05
As 0.375 0.750 0.625  -0.05
As 0.250 0.125 0.375  -0.05
As 0.875 0.125 0.250  -0.05
As 0.375 0.625 0.250  -0.05
As 0.625 0.375 0.750  -0.05
As 0.125 0.875 0.750  -0.05
As 0.750 0.875 0.625  -0.05
As 0.625 0.250 0.375  -0.05
As 0.125 0.250 0.875  -0.05
As 0.250 0.625 0.875  -0.05
Ni 0.125 0.375 0.250  0.26
Ni 0.000 0.500 0.000  0.79
Ni 0.000 0.000 0.000  0.79
Ni 0.375 0.250 0.125  0.26
Ni 0.500 0.000 0.500  0.79
Ni 0.500 0.500 0.000  0.79
Ni 0.125 0.750 0.375  0.26
Ni 0.750 0.125 0.875  0.26
Ni 0.750 0.625 0.375  0.26
Ni 0.375 0.125 0.750  0.26
Ni 0.625 0.875 0.250  0.26
Ni 0.500 0.500 0.500  0.79
Ni 0.500 0.000 0.000  0.79
Ni 0.000 0.000 0.500  0.79
Ni 0.250 0.375 0.625  0.26
Ni 0.250 0.875 0.125  0.26
Ni 0.000 0.500 0.500  0.79
Ni 0.875 0.250 0.625  0.26
Ni 0.625 0.750 0.875  0.26
Ni 0.875 0.625 0.750  0.26
I 0.706 0.123 0.026  0.05
I 0.320 0.526 0.403  0.05
I 0.974 0.377 0.294  0.05
I 0.526 0.206 0.123  0.05
I 0.583 0.706 0.680  0.05
I 0.974 0.597 0.180  0.05
I 0.320 0.794 0.417  0.05
I 0.097 0.917 0.123  0.05
I 0.597 0.974 0.680  0.05
I 0.706 0.583 0.180  0.05
I 0.794 0.474 0.377  0.05
I 0.820 0.903 0.026  0.05
I 0.123 0.706 0.526  0.05
I 0.377 0.403 0.083  0.05
I 0.083 0.903 0.377  0.05
I 0.417 0.123 0.597  0.05
I 0.083 0.180 0.206  0.05
I 0.474 0.680 0.097  0.05
I 0.820 0.917 0.294  0.05
I 0.123 0.417 0.097  0.05
I 0.377 0.974 0.794  0.05
I 0.597 0.623 0.417  0.05
I 0.903 0.820 0.526  0.05
I 0.794 0.320 0.917  0.05
I 0.403 0.377 0.583  0.05
I 0.097 0.180 0.474  0.05
I 0.206 0.680 0.083  0.05
I 0.180 0.083 0.706  0.05
I 0.623 0.026 0.206  0.05
I 0.877 0.583 0.903  0.05
I 0.526 0.320 0.903  0.05
I 0.583 0.877 0.403  0.05
I 0.917 0.820 0.794  0.05
I 0.917 0.097 0.623  0.05
I 0.877 0.294 0.474  0.05
I 0.180 0.097 0.974  0.05
I 0.623 0.597 0.917  0.05
I 0.403 0.026 0.320  0.05
I 0.294 0.417 0.820  0.05
I 0.206 0.526 0.623  0.05
I 0.903 0.083 0.877  0.05
I 0.680 0.206 0.583  0.05
I 0.474 0.794 0.877  0.05
I 0.026 0.403 0.820  0.05
I 0.417 0.294 0.320  0.05
I 0.026 0.623 0.706  0.05
I 0.680 0.474 0.597  0.05
I 0.294 0.877 0.974  0.05


Pr3Ho6TmTh2: relaxed, PBE-GGA.

Output
As for the space group: C2/m (12). The calculation puts the magnetic moment at 0.000 μB per cell. Its formation enthalpy at 0 K is 0.22 eV/f.u. The calculation puts the total energy at -5.07 eV per atom.

Cell: 6.201 6.201 11.799 Å, 95.03 95.03 119.97°
Fractional coordinates of all 12 atoms:
Pr 0.166 0.834 0.500
Pr 0.834 0.166 0.500
Pr 0.500 0.500 0.500
Ho 0.919 0.582 0.756
Ho 0.744 0.744 0.244
Ho 0.081 0.418 0.244
Ho 0.582 0.919 0.756
Ho 0.256 0.256 0.756
Ho 0.418 0.081 0.244
Tm 0.000 0.000 0.000
Th 0.333 0.667 0.000
Th 0.667 0.333 0.000


Ac3SmPb6: relaxed, PBE-GGA.

Output
As for the space group: R-3c (167). The calculation puts the magnetic moment at 0.000 μB per cell. Its formation enthalpy at 0 K is -4.29 eV/f.u. The calculation puts the total energy at -4.36 eV per atom.

Cell: 8.937 8.937 8.937 Å, 96.79 96.79 96.79°
Fractional coordinates of all 20 atoms:
Ac 0.178 0.750 0.322
Ac 0.322 0.178 0.750
Ac 0.250 0.678 0.822
Ac 0.750 0.322 0.178
Ac 0.678 0.822 0.250
Ac 0.822 0.250 0.678
Sm 0.000 0.000 0.000
Sm 0.500 0.500 0.500
Pb 0.912 0.641 0.993
Pb 0.007 0.088 0.359
Pb 0.141 0.412 0.494
Pb 0.359 0.007 0.088
Pb 0.412 0.494 0.141
Pb 0.506 0.859 0.588
Pb 0.494 0.141 0.412
Pb 0.588 0.506 0.859
Pb 0.641 0.993 0.912
Pb 0.859 0.588 0.506
Pb 0.993 0.912 0.641
Pb 0.088 0.359 0.007


Tb3CeTm2Te6: relaxed, PBE-GGA.

Output
The calculation puts the formation energy (no corrections) at -1.2771 eV per atom. As for the space group: C2/m (12). The calculation puts the magnetic moment at 1.297 μB per cell. The calculation puts the total energy at -5.25 eV per atom.

Cell: 4.336 8.803 9.748 Å, 102.32 102.85 90.00°
Last column: magnetic moment on the atom in μB.
Fractional coordinates of all 12 atoms:
Tb 0.500 0.500 0.000  0.01
Tb 0.839 0.165 0.679  0.03
Tb 0.161 0.835 0.321  0.03
Ce 0.500 0.000 0.000  0.94
Tm 0.836 0.670 0.671  0.01
Tm 0.164 0.330 0.329  0.01
Te 0.328 0.909 0.656  0.00
Te 0.670 0.581 0.339  0.00
Te 0.672 0.091 0.344  0.00
Te 0.003 0.258 0.007  -0.01
Te 0.997 0.742 0.993  -0.01
Te 0.330 0.419 0.661  0.00


Pr3Dy5Cd2: relaxed, PBE-GGA.

Output
As for the space group: Ibam (72). The calculation puts the magnetic moment at 0.000 μB per cell. Its formation enthalpy at 0 K is 1.24 eV/f.u. The calculation puts the total energy at -3.79 eV per atom.

Cell: 6.684 10.496 10.496 Å, 89.09 71.43 71.43°
Fractional coordinates of all 20 atoms:
Pr 0.250 0.000 0.000
Pr 0.750 0.000 0.000
Pr 0.360 0.368 0.912
Pr 0.640 0.632 0.088
Pr 0.860 0.912 0.368
Pr 0.140 0.088 0.632
Dy 0.250 0.500 0.500
Dy 0.750 0.500 0.500
Dy 0.511 0.739 0.739
Dy 0.989 0.261 0.261
Dy 0.489 0.261 0.261
Dy 0.011 0.739 0.739
Dy 0.099 0.572 0.231
Dy 0.901 0.428 0.769
Dy 0.599 0.231 0.572
Dy 0.401 0.769 0.428
Cd 0.138 0.724 0.999
Cd 0.862 0.276 0.001
Cd 0.638 0.999 0.724
Cd 0.362 0.001 0.276